(1)
The following is a DFT calculation (GGA-PBE) of an optimized crystal structure of SmCd6Ag4.

Computed properties:
Energy of formation from the pure elements ... -26 meV/atom
Magnetic moment ... 0.0 μB/cell
Uncorrected energy ... -21.9 eV/cell
Calculated volume ... 24.2 Å³ per atom

Geometry as POSCAR:
```
SmCd6Ag4
1.0
-3.5830 3.5830 5.1867
3.5830 -3.5830 5.1867
3.5830 3.5830 -5.1867
Sm Cd Ag
1 6 4
Direct
0.0000 0.0000 0.0000 Sm
0.0000 0.5000 0.5000 Cd
0.1118 0.1118 0.6468 Cd
0.4649 0.4649 0.3532 Cd
0.5000 0.0000 0.5000 Cd
0.5351 0.8882 0.0000 Cd
0.8882 0.5351 0.0000 Cd
0.2558 0.6026 0.0000 Ag
0.3974 0.3974 0.6532 Ag
0.6026 0.2558 0.0000 Ag
0.7442 0.7442 0.3468 Ag
```

***

(2)
The following is a DFT calculation (GGA-PBE) of an optimized crystal structure of Sm3Cd8Ag3.

Computed properties:
Energy of formation from the pure elements ... -225 meV/atom
Magnetic moment ... 0.0 μB/cell
Uncorrected energy ... -33.2 eV/cell
Calculated volume ... 23.5 Å³ per atom

Geometry as POSCAR:
```
Sm3Cd8Ag3
1.0
-2.4517 5.0974 6.5918
2.4517 -5.0974 6.5918
2.4517 5.0974 -6.5918
Sm Cd Ag
3 8 3
Direct
0.0000 0.0000 0.0000 Sm
0.2890 0.2890 0.0000 Sm
0.7110 0.7110 0.0000 Sm
0.0062 0.6430 0.3633 Cd
0.1467 0.8623 0.2844 Cd
0.2797 0.6430 0.6367 Cd
0.4221 0.1377 0.2844 Cd
0.5779 0.8623 0.7156 Cd
0.7203 0.3570 0.3633 Cd
0.8533 0.1377 0.7156 Cd
0.9938 0.3570 0.6367 Cd
0.3491 0.5000 0.8491 Ag
0.5000 0.0000 0.5000 Ag
0.6509 0.5000 0.1509 Ag
```

***

(3)
The following is a DFT calculation (GGA-PBE) of an optimized crystal structure of SmCd5Ag.

Computed properties:
Energy of formation from the pure elements ... -179 meV/atom
Magnetic moment ... 0.0 μB/cell
Uncorrected energy ... -13.4 eV/cell
Calculated volume ... 24.4 Å³ per atom

Geometry as POSCAR:
```
SmCd5Ag
1.0
4.7999 0.0000 0.0000
0.0000 4.7999 0.0000
0.0000 0.0000 7.4094
Sm Cd Ag
1 5 1
Direct
0.0000 0.0000 0.0000 Sm
0.0000 0.5000 0.2893 Cd
0.0000 0.5000 0.7107 Cd
0.5000 0.0000 0.2893 Cd
0.5000 0.0000 0.7107 Cd
0.5000 0.5000 0.0000 Cd
0.0000 0.0000 0.5000 Ag
```

***

(4)
The following is a DFT calculation (GGA-PBE) of an optimized crystal structure of Sm2Cd5Ag4.

Computed properties:
Energy of formation from the pure elements ... -157 meV/atom
Magnetic moment ... 0.0 μB/cell
Uncorrected energy ... -27.1 eV/cell
Calculated volume ... 23.5 Å³ per atom

Geometry as POSCAR:
```
Sm2Cd5Ag4
1.0
0.0000 4.7312 9.3651
2.9198 0.0000 9.3651
2.9198 4.7312 0.0000
Sm Cd Ag
2 5 4
Direct
0.1211 0.1211 0.8789 Sm
0.8789 0.8789 0.1211 Sm
0.0000 0.0000 0.5000 Cd
0.2500 0.2500 0.2500 Cd
0.5000 0.5000 0.0000 Cd
0.5000 0.5000 0.5000 Cd
0.7500 0.7500 0.7500 Cd
0.2126 0.5257 0.4743 Ag
0.4743 0.7874 0.2126 Ag
0.5257 0.2126 0.7874 Ag
0.7874 0.4743 0.5257 Ag
```

***

(5)
The following is a DFT calculation (GGA-PBE) of an optimized crystal structure of Sm6Cd2Ag.

Computed properties:
Energy of formation from the pure elements ... -116 meV/atom
Magnetic moment ... 0.0 μB/cell
Uncorrected energy ... -34.0 eV/cell
Offset from the most stable computed form ... 0.000 eV/atom
Calculated volume ... 29.8 Å³ per atom

Geometry as POSCAR:
```
Sm6Cd2Ag
1.0
8.1064 -1.8574 0.0000
8.1064 1.8574 0.0000
-7.0762 0.0000 8.9052
Sm Cd Ag
6 2 1
Direct
0.0418 0.0418 0.1864 Sm
0.3022 0.3022 0.8938 Sm
0.3239 0.3239 0.4613 Sm
0.6761 0.6761 0.5387 Sm
0.6978 0.6978 0.1062 Sm
0.9582 0.9582 0.8136 Sm
0.4071 0.4071 0.2506 Cd
0.5929 0.5929 0.7494 Cd
0.0000 0.0000 0.5000 Ag
```

***

(6)
The following is a DFT calculation (GGA-PBE) of an optimized crystal structure of SmCd3Ag3.

Computed properties:
Energy of formation from the pure elements ... -139 meV/atom
Magnetic moment ... 0.0 μB/cell
Uncorrected energy ... -34.0 eV/cell
Offset from the most stable computed form ... 0.000 eV/atom
Calculated volume ... 22.2 Å³ per atom

Geometry as POSCAR:
```
SmCd3Ag3
1.0
3.7030 2.1379 6.5502
-3.7030 2.1379 6.5502
0.0000 -4.2759 6.5502
Sm Cd Ag
2 6 6
Direct
0.1558 0.1558 0.1558 Sm
0.8442 0.8442 0.8442 Sm
0.0645 0.2287 0.5807 Cd
0.2287 0.5807 0.0645 Cd
0.4193 0.9355 0.7713 Cd
0.5807 0.0645 0.2287 Cd
0.7713 0.4193 0.9355 Cd
0.9355 0.7713 0.4193 Cd
0.2151 0.4336 0.6713 Ag
0.3287 0.7849 0.5664 Ag
0.4336 0.6713 0.2151 Ag
0.5664 0.3287 0.7849 Ag
0.6713 0.2151 0.4336 Ag
0.7849 0.5664 0.3287 Ag
```

***

(7)
The following is a DFT calculation (GGA-PBE) of an optimized crystal structure of SmCd2Ag8.

Computed properties:
Energy of formation from the pure elements ... -33 meV/atom
Magnetic moment ... 0.0 μB/cell
Uncorrected energy ... -29.7 eV/cell
Calculated volume ... 20.5 Å³ per atom

Geometry as POSCAR:
```
SmCd2Ag8
1.0
3.8184 -7.4278 0.0000
3.8184 7.4278 0.0000
-3.2943 0.0000 3.9723
Sm Cd Ag
1 2 8
Direct
0.0000 0.0000 0.0000 Sm
0.3211 0.6789 0.5000 Cd
0.6789 0.3211 0.5000 Cd
0.0953 0.3655 0.7417 Ag
0.2045 0.7955 0.0000 Ag
0.3655 0.0953 0.7417 Ag
0.4931 0.4931 0.7436 Ag
0.5069 0.5069 0.2564 Ag
0.6345 0.9047 0.2583 Ag
0.7955 0.2045 0.0000 Ag
0.9047 0.6345 0.2583 Ag
```

***

(8)
The following is a DFT calculation (GGA-PBE) of an optimized crystal structure of SmCd5Ag8.

Computed properties:
Energy of formation from the pure elements ... -20 meV/atom
Magnetic moment ... 0.0 μB/cell
Uncorrected energy ... -32.4 eV/cell
Calculated volume ... 21.2 Å³ per atom

Geometry as POSCAR:
```
SmCd5Ag8
1.0
-4.0848 4.0848 4.4530
4.0848 -4.0848 4.4530
4.0848 4.0848 -4.4530
Sm Cd Ag
1 5 8
Direct
0.0000 0.0000 0.0000 Sm
0.0441 0.1779 0.5690 Cd
0.2500 0.7500 0.5000 Cd
0.5249 0.9559 0.1338 Cd
0.6089 0.4751 0.4310 Cd
0.8221 0.3911 0.8662 Cd
0.0845 0.6275 0.7451 Ag
0.2883 0.5201 0.0896 Ag
0.3725 0.1176 0.4570 Ag
0.4304 0.1987 0.9104 Ag
0.4799 0.5696 0.7683 Ag
0.6606 0.9155 0.5430 Ag
0.8013 0.7117 0.2317 Ag
0.8824 0.3394 0.2549 Ag
```